This record from Alexandria via LeMat-Bulk describes a relaxed structure of YCu2Tc. The functional is PBE.

**Excess energy over the best structure of this formula in the dataset**: 66 meV/atom
**Calculated total energy**: -6.062 eV per atom
**Density of states at the Fermi level**: 0.5165 states/eV per atom
**Formation enthalpy at 0 K**: 18.70 kJ/mol of atoms
**Space group**: No. 6

```
data_YCu2Tc
_symmetry_space_group_name_H-M 'P 1'
_symmetry_Int_Tables_number 1
_symmetry_space_group_name_Hall 'P 1'
_cell_length_a 3.119
_cell_length_b 4.422
_cell_length_c 4.769
_cell_angle_alpha 90.00
_cell_angle_beta 93.77
_cell_angle_gamma 90.00
loop_
_atom_site_label
_atom_site_fract_x
_atom_site_fract_y
_atom_site_fract_z
_atom_site_occupancy
Y1 0.000 0.000 0.000 1
Cu1 0.527 0.000 0.501 1
Cu2 0.529 0.500 0.162 1
Tc1 0.098 0.500 0.597 1
```